Computed, not measured: a relaxed Dy2Er crystal at the GGA-PBE level of DFT.

formation energy: 0.021 eV/atom
DOS(E_F): 3.9 states/eV per cell
SG: I4/mmm (139)

a b c (Å): 7.8884 7.8884 7.8884
angles (deg): 154.23 154.23 36.76
Positions (direct):
Dy 0.1662 0.1662 0.0000
Dy 0.8338 0.8338 0.0000
Er 0.5000 0.5000 0.0000